A relaxed BaFeO4 crystal, computed with PBE with a Hubbard U.

Properties
Total magnetization   2.00 μB per formula unit
Space group   No. 137
DFT total energy   -70.55 eV per cell

Unit cell a=5.2988 b=5.2988 c=7.0117 alpha=90.00 beta=90.00 gamma=90.00
Site moments in Bohr magnetons follow the coordinates.
Element x y z (fractional)
1 O 0.2545 0.0000 0.1375  0.01
2 O 0.5000 0.7545 0.6375  0.01
3 O 0.0000 0.7455 0.8625  0.01
4 O 0.2455 0.5000 0.3625  0.01
5 O 0.7455 0.0000 0.1375  0.01
6 O 0.7545 0.5000 0.3625  0.01
7 O 0.5000 0.2455 0.6375  0.01
8 O 0.0000 0.2545 0.8625  0.01
9 Fe 0.5000 0.5000 0.5000  1.88
10 Fe 0.0000 0.0000 0.0000  1.88
11 Ba 0.0000 0.0000 0.5000  0.01
12 Ba 0.5000 0.5000 0.0000  0.01